Entry 1:
A relaxed structure of SrNpI2. Source: Alexandria via LeMat-Bulk, functional GGA-PBE.

a b c (Å): 4.114 4.114 11.259
angles (deg): 79.47 79.47 60.00
Last column: magnetic moment on the atom in μB.
Positions (direct):
Sr 0.500 0.500 0.500  0.10
I 0.098 0.098 0.706  -0.01
Np 0.000 0.000 0.000  4.67
I 0.902 0.902 0.294  -0.01

Results
Volume   161.3 Å³/f.u.
Theoretical density   5.956 Mg/m³
Raw formation energy   -0.34 eV/atom
Energy   -19.08 eV/cell

Entry 2:
A relaxed structure of SrNpI6. Source: Alexandria via LeMat-Bulk, functional GGA-PBE.

a b c (Å): 8.031 8.031 7.801
angles (deg): 98.46 98.46 121.47
Last column: magnetic moment on the atom in μB.
Positions (direct):
I 0.879 0.572 0.735  -0.05
I 0.744 0.744 0.271  -0.05
Np 0.500 0.500 0.500  3.35
I 0.121 0.428 0.265  -0.05
Sr 0.000 0.000 0.000  0.00
I 0.256 0.256 0.729  -0.05
I 0.572 0.879 0.735  -0.05
I 0.428 0.121 0.265  -0.05

Results
Volume   409.3 Å³/f.u.
Theoretical density   4.406 Mg/m³
Raw formation energy   -1.09 eV/atom
Energy   -32.66 eV/cell

Entry 3:
A relaxed structure of Sr2NpI8. Source: Alexandria via LeMat-Bulk, functional GGA-PBE.

a b c (Å): 6.595 9.928 9.928
angles (deg): 120.00 90.00 90.00
Last column: magnetic moment on the atom in μB.
Positions (direct):
I 0.755 0.710 0.855  -0.05
I 0.755 0.145 0.290  -0.05
I 0.245 0.855 0.145  -0.05
I 0.755 0.145 0.855  -0.05
I 0.245 0.290 0.145  -0.05
I 0.201 0.333 0.667  -0.01
I 0.799 0.667 0.333  -0.01
Sr 0.307 0.667 0.333  0.00
Sr 0.693 0.333 0.667  0.00
Np 0.500 0.000 0.000  3.40
I 0.245 0.855 0.710  -0.05

Results
Volume   562.9 Å³/f.u.
Theoretical density   4.211 Mg/m³
Raw formation energy   -1.15 eV/atom
Energy   -41.39 eV/cell